The following is a GGA-PBE calculation of crystalline Er8BiOs2 at its relaxed geometry, from Alexandria via LeMat-Bulk.

## Properties
The mass density is 10.97 g cm⁻³. The calculation puts the formation enthalpy at 0 K at -26 kJ per mole of atoms. The total energy is -5.987 eV/atom.

```
Er8BiOs2
1.0
8.915 -2.471 0.000
8.915 2.471 0.000
-2.661 0.000 6.623
Er Bi Os
8 1 2
Direct
0.000 0.000 0.000
0.154 0.154 0.549
0.211 0.211 0.163
0.411 0.411 0.616
0.524 0.524 0.354
0.605 0.605 0.861
0.788 0.788 0.688
0.846 0.846 0.267
0.351 0.351 0.977
0.003 0.003 0.607
0.677 0.677 0.303
```

The following is a GGA-PBE calculation of crystalline Bi2SbRu at its relaxed geometry, from Alexandria via LeMat-Bulk.

## Properties
The mass density is 7.65 g cm⁻³. The value obtained for the uncorrected formation energy is 0.519 eV/atom. The total energy is -4.771 eV/atom.

```
Bi2SbRu
1.0
6.538 0.000 0.000
0.000 6.538 0.000
0.000 0.000 13.011
Bi Sb Ru
8 4 4
Direct
0.193 0.250 0.125
0.250 0.693 0.375
0.250 0.807 0.875
0.307 0.250 0.625
0.693 0.750 0.625
0.750 0.193 0.875
0.750 0.307 0.375
0.807 0.750 0.125
0.000 0.000 0.500
0.000 0.500 0.750
0.500 0.000 0.250
0.500 0.500 0.000
0.000 0.000 0.000
0.000 0.500 0.250
0.500 0.000 0.750
0.500 0.500 0.500
```

The following is a GGA-PBE calculation of crystalline Eu3TlF at its relaxed geometry, from Alexandria via LeMat-Bulk.

## Properties
The mass density is 8.08 g cm⁻³. The value obtained for the uncorrected formation energy is -1.210 eV/atom. The total energy is -8.222 eV/atom.

```
Eu3TlF
1.0
5.189 0.000 0.000
0.000 5.189 0.000
0.000 0.000 5.189
Eu Tl F
3 1 1
Direct
0.000 0.000 0.500
0.000 0.500 0.000
0.500 0.000 0.000
0.500 0.500 0.500
0.000 0.000 0.000
```

The following is a GGA-PBE calculation of crystalline CrSb2TeW at its relaxed geometry, from Alexandria via LeMat-Bulk.

## Properties
The mass density is 7.81 g cm⁻³. The value obtained for the uncorrected formation energy is 1.289 eV/atom. The total energy is -5.503 eV/atom.

```
CrSb2TeW
1.0
4.998 0.000 0.000
0.000 4.998 0.000
0.000 0.000 5.164
Cr Sb Te W
1 2 1 1
Direct
0.000 0.000 0.000
0.000 0.500 0.000
0.500 0.000 0.000
0.000 0.000 0.500
0.500 0.500 0.500
```

Number 1: magnetization 0.000 Bohr magnetons per cell. Number 2: magnetization 0.000 Bohr magnetons per cell. Number 3: magnetization 21.624 Bohr magnetons per cell. Number 4: magnetization 5.632 Bohr magnetons per cell.